# 1
CaTb2Pu | PBE | relaxed

The space group is P4/mmm (No. 123) and the conventional cell measures 3.560, 3.560 and 10.266 Å, with angles of 90.00, 90.00 and 90.00 degrees. The inequivalent atoms are Ca at (0.000, 0.000, 0.000), Tb at (0.500, 0.500, 0.274) and Pu at (0.000, 0.000, 0.500).

The polymorph energy (0 for the lowest one) is 0 meV/atom. Its calculated volume is 32.52 Å³/atom. The formation energy comes out at 0.14 eV/atom.

# 2
BaAgTe2S | PBE | relaxed

The space group is P4/mmm (No. 123) and the conventional cell measures 5.545, 5.545 and 5.057 Å, with angles of 90.00, 90.00 and 90.00 degrees. The inequivalent atoms are Ba at (0.000, 0.000, 0.000), Ag at (0.500, 0.500, 0.500), Te at (0.000, 0.500, 0.500) and S at (0.500, 0.500, 0.000).

As for the uncorrected formation energy: -2.359 eV/f.u. Its calculated volume is 31.09 Å³/atom.

# 3
Nd2CoBr | PBE | relaxed

The space group is P4/mmm (No. 123) and the conventional cell measures 3.440, 3.440 and 8.246 Å, with angles of 90.00, 90.00 and 90.00 degrees. The inequivalent atoms are Nd at (0.000, 0.000, 0.208), Co at (0.500, 0.500, 0.000) and Br at (0.500, 0.500, 0.500).

As for the uncorrected formation energy: -2.179 eV/f.u. The polymorph energy (0 for the lowest one) is 177 meV/atom. Its calculated volume is 24.40 Å³/atom.

# 4
ZrBW | PBE | relaxed

The space group is P2_1/m (No. 11) and the conventional cell measures 4.860, 3.203 and 5.910 Å, with angles of 90.00, 103.48 and 90.00 degrees. The inequivalent atoms are Zr at (0.060, 0.250, 0.264), B at (0.407, 0.750, 0.532) and W at (0.453, 0.250, 0.814).

The polymorph energy (0 for the lowest one) is 84 meV/atom. Its calculated volume is 14.91 Å³/atom. The formation energy comes out at -0.34 eV/atom.